Entry 1:
Entry from Alexandria: a PBEsol-optimized structure of SiHg3 (meta-GGA SCAN).

Lattice parameters (Å, degrees): 6.8317 6.8317 6.8317 152.61 142.75 46.85
Positions (direct):
Si (0.0000, 0.0000, 0.0000)
Hg (0.1960, 0.6960, 0.5000)
Hg (0.5000, 0.5000, 0.0000)
Hg (0.8040, 0.3040, 0.5000)

The value obtained for the uncorrected formation energy is 0.351 eV per atom. The energy above the most stable polymorph in this dataset is 0.00 eV per formula unit. Its total energy is -3.9158 Ry/atom.

Entry 2:
Entry from Alexandria: a PBEsol-optimized structure of Si2Hg (meta-GGA SCAN).

Lattice parameters (Å, degrees): 11.0527 11.0527 3.3868 90.00 90.00 164.94
Positions (direct):
Si (0.0424, 0.9576, 0.7500)
Si (0.4015, 0.5985, 0.7500)
Si (0.5985, 0.4015, 0.2500)
Si (0.9576, 0.0424, 0.2500)
Hg (0.3008, 0.6992, 0.2500)
Hg (0.6992, 0.3008, 0.7500)

The value obtained for the uncorrected formation energy is 0.473 eV per atom. The energy above the most stable polymorph in this dataset is 0.00 eV per formula unit. Its total energy is -2.1260 Ry/atom.

Entry 3:
Entry from Alexandria: a PBEsol-optimized structure of Sr2SiHg2 (meta-GGA SCAN).

Lattice parameters (Å, degrees): 9.8262 9.8262 9.8262 156.64 156.64 33.27
Positions (direct):
Sr (0.0945, 0.0945, 0.0000)
Sr (0.9055, 0.9055, 0.0000)
Si (0.5000, 0.5000, 0.0000)
Hg (0.2500, 0.7500, 0.5000)
Hg (0.7500, 0.2500, 0.5000)

The value obtained for the uncorrected formation energy is -0.271 eV per atom. Its total energy is -2.8260 Ry/atom.

Entry 4:
Entry from Alexandria: a PBEsol-optimized structure of SrSi3Hg (meta-GGA SCAN).

Lattice parameters (Å, degrees): 5.0933 5.0933 5.0933 90.00 90.00 90.00
Positions (direct):
Sr (0.0000, 0.0000, 0.0000)
Si (0.0000, 0.5000, 0.5000)
Si (0.5000, 0.0000, 0.5000)
Si (0.5000, 0.5000, 0.0000)
Hg (0.5000, 0.5000, 0.5000)

The value obtained for the uncorrected formation energy is 0.754 eV per atom. Its total energy is -1.7158 Ry/atom.

Entry 5:
Entry from Alexandria: a PBEsol-optimized structure of SrSiHg4 (meta-GGA SCAN).

Lattice parameters (Å, degrees): 5.9159 5.9159 5.9159 60.00 60.00 60.00
Positions (direct):
Sr (0.0000, 0.0000, 0.0000)
Si (0.7500, 0.7500, 0.7500)
Hg (0.3754, 0.3754, 0.3754)
Hg (0.3754, 0.3754, 0.8737)
Hg (0.3754, 0.8737, 0.3754)
Hg (0.8737, 0.3754, 0.3754)

The value obtained for the uncorrected formation energy is 0.047 eV per atom. Its total energy is -3.7321 Ry/atom.

Entry 6:
Entry from Alexandria: a PBEsol-optimized structure of TaSiHg (meta-GGA SCAN).

Lattice parameters (Å, degrees): 6.8845 6.7330 2.9041 80.63 74.78 24.59
Positions (direct):
Ta (0.0000, 0.0000, 0.0000)
Si (0.3572, 0.3572, 0.6428)
Hg (0.6779, 0.6779, 0.3221)

The value obtained for the uncorrected formation energy is 0.378 eV per atom. Its total energy is -3.5189 Ry/atom.